This record from the Alexandria database describes a geometry-optimized Ba2SrC structure. The functional is GGA-PBE.

```
data_Ba2SrC
_cell_length_a 11.016
_cell_length_b 11.016
_cell_length_c 5.439
_cell_angle_alpha 90.00
_cell_angle_beta 90.00
_cell_angle_gamma 90.00
_symmetry_space_group_name_H-M 'I -4 2 d'
_symmetry_Int_Tables_number 122
_symmetry_space_group_name_Hall 'I -4 2bw'
loop_
_atom_site_label
_atom_site_fract_x
_atom_site_fract_y
_atom_site_fract_z
Ba1 0.083 0.250 0.125
Sr1 0.000 0.000 0.500
C1 0.000 0.000 0.000
```

Output
DOS at the Fermi energy ... 0.99 states/eV/atom
Total moment ... 0.00 μB/f.u.
E_tot ... -3.06 eV/atom

This record from the Alexandria database describes a geometry-optimized Pr4Dy4Er structure. The functional is GGA-PBE.

```
data_Pr4Dy4Er
_cell_length_a 10.859
_cell_length_b 10.859
_cell_length_c 5.091
_cell_angle_alpha 90.00
_cell_angle_beta 90.00
_cell_angle_gamma 90.00
_symmetry_space_group_name_H-M 'I 4/m m m'
_symmetry_Int_Tables_number 139
_symmetry_space_group_name_Hall '-I 4 2'
loop_
_atom_site_label
_atom_site_fract_x
_atom_site_fract_y
_atom_site_fract_z
Pr1 0.166 0.166 0.000
Dy1 0.000 0.335 0.500
Er1 0.000 0.000 0.500
```

Output
DOS at the Fermi energy ... 1.44 states/eV/atom
Total moment ... 0.00 μB/f.u.
Relative energy among the computed polymorphs ... 0 meV/atom

This record from the Alexandria database describes a geometry-optimized HfHCl3 structure. The functional is GGA-PBE.

```
data_HfHCl3
_cell_length_a 7.992
_cell_length_b 13.658
_cell_length_c 6.691
_cell_angle_alpha 90.00
_cell_angle_beta 90.00
_cell_angle_gamma 90.00
_symmetry_space_group_name_H-M 'I m a 2'
_symmetry_Int_Tables_number 46
_symmetry_space_group_name_Hall 'I 2 -2a'
loop_
_atom_site_label
_atom_site_fract_x
_atom_site_fract_y
_atom_site_fract_z
Hf1 0.250 0.209 0.000
H1 0.250 0.194 0.706
Cl1 0.013 0.641 0.448
Cl2 0.250 0.125 0.346
```

Output
DOS at the Fermi energy ... 0.00 states/eV/atom
Total moment ... 0.00 μB/f.u.
Relative energy among the computed polymorphs ... 0 meV/atom

This record from the Alexandria database describes a geometry-optimized LaSc4Be structure. The functional is GGA-PBE.

```
data_LaSc4Be
_cell_length_a 8.509
_cell_length_b 8.509
_cell_length_c 8.509
_cell_angle_alpha 90.00
_cell_angle_beta 90.00
_cell_angle_gamma 90.00
_symmetry_space_group_name_H-M 'F -4 3 m'
_symmetry_Int_Tables_number 216
_symmetry_space_group_name_Hall 'F -4 2 3'
loop_
_atom_site_label
_atom_site_fract_x
_atom_site_fract_y
_atom_site_fract_z
La1 0.000 0.000 0.000
Sc1 0.125 0.125 0.625
Be1 0.250 0.250 0.250
```

Output
DOS at the Fermi energy ... 1.44 states/eV/atom
Total moment ... 0.21 μB/f.u.
E_tot ... -5.14 eV/atom